(1)
# Cr2IrOs SCAN PBEsol geometry
data_Cr2IrOs
_chemical_formula_sum 'Cr4 Ir2 Os2'
_cell_length_a 3.7401
_cell_length_b 3.7401
_cell_length_c 7.2884
_cell_angle_alpha 90.00
_cell_angle_beta 90.00
_cell_angle_gamma 90.00
_symmetry_space_group_name_H-M 'I 4/m m m'
_symmetry_Int_Tables_number 139
_symmetry_space_group_name_Hall '-I 4 2'
loop_
_atom_site_label
_atom_site_fract_x
_atom_site_fract_y
_atom_site_fract_z
Cr1 0.0000 0.5000 0.2500
Ir1 0.0000 0.0000 0.0000
Os1 0.0000 0.0000 0.5000
# - E_tot: -360.2 eV/cell
# - Energy relative to the lowest polymorph listed for this composition: 4.1 meV/atom
# - Theoretical density: 15.846 g cm⁻³
# - Calculated formation energy: -0.0846 eV/atom



(2)
# Cr2IrOs SCAN PBEsol geometry
data_Cr2IrOs
_chemical_formula_sum 'Cr2 Ir1 Os1'
_cell_length_a 3.7394
_cell_length_b 3.7394
_cell_length_c 3.6448
_cell_angle_alpha 90.00
_cell_angle_beta 90.00
_cell_angle_gamma 90.00
_symmetry_space_group_name_H-M 'P 4/m m m'
_symmetry_Int_Tables_number 123
_symmetry_space_group_name_Hall '-P 4 2'
loop_
_atom_site_label
_atom_site_fract_x
_atom_site_fract_y
_atom_site_fract_z
Cr1 0.0000 0.5000 0.0000
Ir1 0.0000 0.0000 0.5000
Os1 0.5000 0.5000 0.5000
# - E_tot: -180.1 eV/cell
# - Energy relative to the lowest polymorph listed for this composition: 0.0 meV/atom
# - Theoretical density: 15.849 g cm⁻³
# - Calculated formation energy: -0.0887 eV/atom



(3)
# Cr4IrOs SCAN PBEsol geometry
data_Cr4IrOs
_chemical_formula_sum 'Cr16 Ir4 Os4'
_cell_length_a 6.5938
_cell_length_b 6.5938
_cell_length_c 6.5938
_cell_angle_alpha 90.00
_cell_angle_beta 90.00
_cell_angle_gamma 90.00
_symmetry_space_group_name_H-M 'F -4 3 m'
_symmetry_Int_Tables_number 216
_symmetry_space_group_name_Hall 'F -4 2 3'
loop_
_atom_site_label
_atom_site_fract_x
_atom_site_fract_y
_atom_site_fract_z
Cr1 0.1248 0.1248 0.1248
Ir1 0.0000 0.0000 0.5000
Os1 0.2500 0.2500 0.7500
# - E_tot: -868.5 eV/cell
# - Theoretical density: 13.679 g cm⁻³
# - Calculated formation energy: -0.1005 eV/atom



(4)
# CrIr2Os SCAN PBEsol geometry
data_CrIr2Os
_chemical_formula_sum 'Cr1 Ir2 Os1'
_cell_length_a 2.6757
_cell_length_b 3.7676
_cell_length_c 5.3311
_cell_angle_alpha 90.00
_cell_angle_beta 90.00
_cell_angle_gamma 90.00
_symmetry_space_group_name_H-M 'P m m m'
_symmetry_Int_Tables_number 47
_symmetry_space_group_name_Hall '-P 2 2'
loop_
_atom_site_label
_atom_site_fract_x
_atom_site_fract_y
_atom_site_fract_z
Cr1 0.0000 0.0000 0.0000
Ir1 0.5000 0.5000 0.2453
Os1 0.0000 0.0000 0.5000
# - E_tot: -233.1 eV/cell
# - Energy relative to the lowest polymorph listed for this composition: 70.2 meV/atom
# - Theoretical density: 19.363 g cm⁻³
# - Calculated formation energy: -0.1711 eV/atom



(5)
# Cr2IrOs SCAN PBEsol geometry
data_Cr2IrOs
_chemical_formula_sum 'Cr2 Ir1 Os1'
_cell_length_a 2.6399
_cell_length_b 3.6486
_cell_length_c 5.2972
_cell_angle_alpha 90.00
_cell_angle_beta 90.00
_cell_angle_gamma 90.00
_symmetry_space_group_name_H-M 'P m m m'
_symmetry_Int_Tables_number 47
_symmetry_space_group_name_Hall '-P 2 2'
loop_
_atom_site_label
_atom_site_fract_x
_atom_site_fract_y
_atom_site_fract_z
Cr1 0.0000 0.0000 0.2467
Ir1 0.5000 0.5000 0.5000
Os1 0.5000 0.5000 0.0000
# - E_tot: -180.1 eV/cell
# - Energy relative to the lowest polymorph listed for this composition: 10.7 meV/atom
# - Theoretical density: 15.832 g cm⁻³
# - Calculated formation energy: -0.0780 eV/atom



(6)
# CrIr2Os SCAN PBEsol geometry
data_CrIr2Os
_chemical_formula_sum 'Cr2 Ir4 Os2'
_cell_length_a 3.7846
_cell_length_b 3.7846
_cell_length_c 7.4849
_cell_angle_alpha 90.00
_cell_angle_beta 90.00
_cell_angle_gamma 90.00
_symmetry_space_group_name_H-M 'I -4 m 2'
_symmetry_Int_Tables_number 119
_symmetry_space_group_name_Hall 'I -4 -2'
loop_
_atom_site_label
_atom_site_fract_x
_atom_site_fract_y
_atom_site_fract_z
Cr1 0.0000 0.0000 0.0000
Ir1 0.0000 0.0000 0.5000
Ir2 0.0000 0.5000 0.7500
Os1 0.0000 0.5000 0.2500
# - E_tot: -466.3 eV/cell
# - Energy relative to the lowest polymorph listed for this composition: 66.9 meV/atom
# - Theoretical density: 19.412 g cm⁻³
# - Calculated formation energy: -0.1745 eV/atom



(7)
# CrIr2Os SCAN PBEsol geometry
data_CrIr2Os
_chemical_formula_sum 'Cr2 Ir4 Os2'
_cell_length_a 3.7627
_cell_length_b 3.7627
_cell_length_c 7.5815
_cell_angle_alpha 90.00
_cell_angle_beta 90.00
_cell_angle_gamma 90.00
_symmetry_space_group_name_H-M 'I 4/m m m'
_symmetry_Int_Tables_number 139
_symmetry_space_group_name_Hall '-I 4 2'
loop_
_atom_site_label
_atom_site_fract_x
_atom_site_fract_y
_atom_site_fract_z
Cr1 0.0000 0.0000 0.0000
Ir1 0.0000 0.5000 0.2500
Os1 0.0000 0.0000 0.5000
# - E_tot: -466.6 eV/cell
# - Energy relative to the lowest polymorph listed for this composition: 31.4 meV/atom
# - Theoretical density: 19.389 g cm⁻³
# - Calculated formation energy: -0.2099 eV/atom



(8)
# CrIr2Os SCAN PBEsol geometry
data_CrIr2Os
_chemical_formula_sum 'Cr2 Ir4 Os2'
_cell_length_a 5.3340
_cell_length_b 7.5493
_cell_length_c 2.6792
_cell_angle_alpha 90.00
_cell_angle_beta 90.00
_cell_angle_gamma 90.00
_symmetry_space_group_name_H-M 'C m m m'
_symmetry_Int_Tables_number 65
_symmetry_space_group_name_Hall '-C 2 2'
loop_
_atom_site_label
_atom_site_fract_x
_atom_site_fract_y
_atom_site_fract_z
Cr1 0.0000 0.0000 0.0000
Ir1 0.2500 0.2500 0.5000
Os1 0.0000 0.5000 0.0000
# - E_tot: -466.6 eV/cell
# - Energy relative to the lowest polymorph listed for this composition: 33.4 meV/atom
# - Theoretical density: 19.291 g cm⁻³
# - Calculated formation energy: -0.2080 eV/atom



(9)
# CrIr2Os SCAN PBEsol geometry
data_CrIr2Os
_chemical_formula_sum 'Cr1 Ir2 Os1'
_cell_length_a 2.6874
_cell_length_b 4.2572
_cell_length_c 4.6732
_cell_angle_alpha 90.00
_cell_angle_beta 90.00
_cell_angle_gamma 90.00
_symmetry_space_group_name_H-M 'P m m 2'
_symmetry_Int_Tables_number 25
_symmetry_space_group_name_Hall 'P 2 -2'
loop_
_atom_site_label
_atom_site_fract_x
_atom_site_fract_y
_atom_site_fract_z
Cr1 0.0000 0.0000 0.0000
Ir1 0.5000 0.0000 0.4894
Ir2 0.5000 0.5000 0.8321
Os1 0.0000 0.5000 0.3210
# - E_tot: -233.4 eV/cell
# - Energy relative to the lowest polymorph listed for this composition: 15.5 meV/atom
# - Theoretical density: 19.463 g cm⁻³
# - Calculated formation energy: -0.2259 eV/atom



(10)
# Cr2IrOs SCAN PBEsol geometry
data_Cr2IrOs
_chemical_formula_sum 'Cr4 Ir2 Os2'
_cell_length_a 3.9560
_cell_length_b 2.6521
_cell_length_c 9.6591
_cell_angle_alpha 90.00
_cell_angle_beta 90.00
_cell_angle_gamma 90.00
_symmetry_space_group_name_H-M 'A m m 2'
_symmetry_Int_Tables_number 38
_symmetry_space_group_name_Hall 'A 2 -2'
loop_
_atom_site_label
_atom_site_fract_x
_atom_site_fract_y
_atom_site_fract_z
Cr1 0.0000 0.0000 0.0000
Cr2 0.5000 0.0000 0.1228
Ir1 0.5000 0.0000 0.3892
Os1 0.0000 0.0000 0.7327
# - E_tot: -360.0 eV/cell
# - Energy relative to the lowest polymorph listed for this composition: 29.5 meV/atom
# - Theoretical density: 15.941 g cm⁻³
# - Calculated formation energy: -0.0592 eV/atom



(11)
# Cr2IrOs SCAN PBEsol geometry
data_Cr2IrOs
_chemical_formula_sum 'Cr4 Ir2 Os2'
_cell_length_a 5.2968
_cell_length_b 7.2924
_cell_length_c 2.6408
_cell_angle_alpha 90.00
_cell_angle_beta 90.00
_cell_angle_gamma 90.00
_symmetry_space_group_name_H-M 'C m m m'
_symmetry_Int_Tables_number 65
_symmetry_space_group_name_Hall '-C 2 2'
loop_
_atom_site_label
_atom_site_fract_x
_atom_site_fract_y
_atom_site_fract_z
Cr1 0.2500 0.2500 0.0000
Ir1 0.0000 0.0000 0.5000
Os1 0.0000 0.5000 0.5000
# - E_tot: -360.1 eV/cell
# - Energy relative to the lowest polymorph listed for this composition: 9.2 meV/atom
# - Theoretical density: 15.838 g cm⁻³
# - Calculated formation energy: -0.0795 eV/atom



(12)
# CrIr2Os SCAN PBEsol geometry
data_CrIr2Os
_chemical_formula_sum 'Cr1 Ir2 Os1'
_cell_length_a 3.7702
_cell_length_b 3.7702
_cell_length_c 3.7799
_cell_angle_alpha 90.00
_cell_angle_beta 90.00
_cell_angle_gamma 90.00
_symmetry_space_group_name_H-M 'P 4/m m m'
_symmetry_Int_Tables_number 123
_symmetry_space_group_name_Hall '-P 4 2'
loop_
_atom_site_label
_atom_site_fract_x
_atom_site_fract_y
_atom_site_fract_z
Cr1 0.0000 0.0000 0.0000
Ir1 0.0000 0.5000 0.5000
Os1 0.5000 0.5000 0.0000
# - E_tot: -233.4 eV/cell
# - Energy relative to the lowest polymorph listed for this composition: 0.0 meV/atom
# - Theoretical density: 19.367 g cm⁻³
# - Calculated formation energy: -0.2414 eV/atom



(13)
# Cr2PIr SCAN PBEsol geometry
data_Cr2PIr
_chemical_formula_sum 'Cr4 P2 Ir2'
_cell_length_a 3.6416
_cell_length_b 3.6416
_cell_length_c 7.3743
_cell_angle_alpha 90.00
_cell_angle_beta 90.00
_cell_angle_gamma 90.00
_symmetry_space_group_name_H-M 'I -4 m 2'
_symmetry_Int_Tables_number 119
_symmetry_space_group_name_Hall 'I -4 -2'
loop_
_atom_site_label
_atom_site_fract_x
_atom_site_fract_y
_atom_site_fract_z
Cr1 0.0000 0.0000 0.0000
Cr2 0.0000 0.5000 0.2500
P1 0.0000 0.5000 0.7500
Ir1 0.0000 0.0000 0.5000
# - E_tot: -238.7 eV/cell
# - Theoretical density: 11.111 g cm⁻³
# - Calculated formation energy: -0.2765 eV/atom



(14)
# CrPIr2 SCAN PBEsol geometry
data_CrPIr2
_chemical_formula_sum 'Cr1 P1 Ir2'
_cell_length_a 2.7958
_cell_length_b 3.7398
_cell_length_c 5.1113
_cell_angle_alpha 90.00
_cell_angle_beta 90.00
_cell_angle_gamma 90.00
_symmetry_space_group_name_H-M 'P m m 2'
_symmetry_Int_Tables_number 25
_symmetry_space_group_name_Hall 'P 2 -2'
loop_
_atom_site_label
_atom_site_fract_x
_atom_site_fract_y
_atom_site_fract_z
Cr1 0.0000 0.0000 0.0000
P1 0.5000 0.5000 0.6871
Ir1 0.0000 0.0000 0.5171
Ir2 0.5000 0.5000 0.1772
# - E_tot: -171.4 eV/cell
# - Theoretical density: 14.523 g cm⁻³
# - Calculated formation energy: -0.0965 eV/atom



(15)
# Cr2PIr SCAN PBEsol geometry
data_Cr2PIr
_chemical_formula_sum 'Cr4 P2 Ir2'
_cell_length_a 2.7909
_cell_length_b 4.1316
_cell_length_c 8.1858
_cell_angle_alpha 90.00
_cell_angle_beta 90.00
_cell_angle_gamma 90.00
_symmetry_space_group_name_H-M 'I m m m'
_symmetry_Int_Tables_number 71
_symmetry_space_group_name_Hall '-I 2 2'
loop_
_atom_site_label
_atom_site_fract_x
_atom_site_fract_y
_atom_site_fract_z
Cr1 0.0000 0.0000 0.2242
P1 0.0000 0.5000 0.5000
Ir1 0.0000 0.5000 0.0000
# - E_tot: -238.2 eV/cell
# - Theoretical density: 11.512 g cm⁻³
# - Calculated formation energy: -0.2084 eV/atom



(16)
# CrPIr2 SCAN PBEsol geometry
data_CrPIr2
_chemical_formula_sum 'Cr1 P1 Ir2'
_cell_length_a 2.7142
_cell_length_b 4.3423
_cell_length_c 4.5005
_cell_angle_alpha 90.00
_cell_angle_beta 90.00
_cell_angle_gamma 90.00
_symmetry_space_group_name_H-M 'P m m m'
_symmetry_Int_Tables_number 47
_symmetry_space_group_name_Hall '-P 2 2'
loop_
_atom_site_label
_atom_site_fract_x
_atom_site_fract_y
_atom_site_fract_z
Cr1 0.0000 0.0000 0.0000
P1 0.5000 0.0000 0.5000
Ir1 0.0000 0.5000 0.5000
Ir2 0.5000 0.5000 0.0000
# - E_tot: -170.7 eV/cell
# - Theoretical density: 14.633 g cm⁻³
# - Calculated formation energy: 0.0627 eV/atom



(17)
# Cr2PIr SCAN PBEsol geometry
data_Cr2PIr
_chemical_formula_sum 'Cr4 P2 Ir2'
_cell_length_a 2.8878
_cell_length_b 4.4387
_cell_length_c 7.7498
_cell_angle_alpha 90.00
_cell_angle_beta 90.00
_cell_angle_gamma 90.00
_symmetry_space_group_name_H-M 'C m m 2'
_symmetry_Int_Tables_number 35
_symmetry_space_group_name_Hall 'C 2 -2'
loop_
_atom_site_label
_atom_site_fract_x
_atom_site_fract_y
_atom_site_fract_z
Cr1 0.0000 0.0000 0.0000
Cr2 0.0000 0.5000 0.2361
P1 0.0000 0.0000 0.4662
Ir1 0.0000 0.5000 0.7266
# - E_tot: -234.3 eV/cell
# - Theoretical density: 10.939 g cm⁻³
# - Calculated formation energy: 0.2764 eV/atom



(18)
# CrPIr2 SCAN PBEsol geometry
data_CrPIr2
_chemical_formula_sum 'Cr2 P2 Ir4'
_cell_length_a 2.8263
_cell_length_b 4.2239
_cell_length_c 8.8051
_cell_angle_alpha 90.00
_cell_angle_beta 90.00
_cell_angle_gamma 90.00
_symmetry_space_group_name_H-M 'I m m m'
_symmetry_Int_Tables_number 71
_symmetry_space_group_name_Hall '-I 2 2'
loop_
_atom_site_label
_atom_site_fract_x
_atom_site_fract_y
_atom_site_fract_z
Cr1 0.0000 0.0000 0.0000
P1 0.0000 0.0000 0.5000
Ir1 0.0000 0.5000 0.2134
# - E_tot: -343.4 eV/cell
# - Theoretical density: 14.767 g cm⁻³
# - Calculated formation energy: -0.1837 eV/atom



(19)
# Cr2PIr SCAN PBEsol geometry
data_Cr2PIr
_chemical_formula_sum 'Cr4 P2 Ir2'
_cell_length_a 3.6220
_cell_length_b 2.6950
_cell_length_c 10.0159
_cell_angle_alpha 90.00
_cell_angle_beta 90.00
_cell_angle_gamma 90.00
_symmetry_space_group_name_H-M 'A m m 2'
_symmetry_Int_Tables_number 38
_symmetry_space_group_name_Hall 'A 2 -2'
loop_
_atom_site_label
_atom_site_fract_x
_atom_site_fract_y
_atom_site_fract_z
Cr1 0.0000 0.0000 0.0000
Cr2 0.5000 0.0000 0.3581
P1 0.5000 0.0000 0.5834
Ir1 0.0000 0.0000 0.7367
# - E_tot: -238.8 eV/cell
# - Theoretical density: 11.114 g cm⁻³
# - Calculated formation energy: -0.2851 eV/atom



(20)
# ZrCrPIr2 SCAN PBEsol geometry
data_ZrCrPIr2
_chemical_formula_sum 'Zr1 Cr1 P1 Ir2'
_cell_length_a 4.7767
_cell_length_b 4.7767
_cell_length_c 4.8223
_cell_angle_alpha 90.00
_cell_angle_beta 90.00
_cell_angle_gamma 90.00
_symmetry_space_group_name_H-M 'P 4/m m m'
_symmetry_Int_Tables_number 123
_symmetry_space_group_name_Hall '-P 4 2'
loop_
_atom_site_label
_atom_site_fract_x
_atom_site_fract_y
_atom_site_fract_z
Zr1 0.0000 0.0000 0.0000
Cr1 0.5000 0.5000 0.5000
P1 0.0000 0.0000 0.5000
Ir1 0.0000 0.5000 0.0000
# - E_tot: -195.0 eV/cell
# - Theoretical density: 8.431 g cm⁻³
# - Calculated formation energy: 1.3285 eV/atom